P:
Here is Al2Ga2Ag after structural relaxation from Alexandria via LeMat-Bulk. Energies are from GGA-PBE.

Output
* total magnetic moment: 0.0 μB/cell
* crystal system: tetragonal
* SG: P4/mbm

abc: 7.744 7.744 3.047
angles: 90.00 90.00 90.00
Sites, in units of the cell vectors:
1 Al 0.127 0.373 0.000
2 Al 0.373 0.873 0.000
3 Al 0.627 0.127 0.000
4 Al 0.873 0.627 0.000
5 Ga 0.172 0.672 0.500
6 Ga 0.328 0.172 0.500
7 Ga 0.672 0.828 0.500
8 Ga 0.828 0.328 0.500
9 Ag 0.000 0.000 0.000
10 Ag 0.500 0.500 0.000


Q:
Here is Al2Ga2Ag after structural relaxation from Alexandria via LeMat-Bulk. Energies are from GGA-PBE.

Output
* total magnetic moment: 0.0 μB/cell
* crystal system: tetragonal
* SG: I4/mmm

abc: 6.431 6.431 6.431
angles: 143.36 143.36 52.79
Sites, in units of the cell vectors:
1 Al 0.250 0.750 0.500
2 Al 0.750 0.250 0.500
3 Ga 0.105 0.105 0.000
4 Ga 0.895 0.895 0.000
5 Ag 0.500 0.500 0.000


Stability verdict: P, ahead by 10 meV/atom


P:
Here is Al2Ga2Ag after structural relaxation from Alexandria via LeMat-Bulk. Energies are from GGA-PBE.

Output
* total magnetic moment: 0.0 μB/cell
* crystal system: trigonal
* SG: R-3m

abc: 12.083 12.083 12.083
angles: 13.93 13.93 13.93
Sites, in units of the cell vectors:
1 Al 0.103 0.103 0.103
2 Al 0.897 0.897 0.897
3 Ga 0.371 0.371 0.371
4 Ga 0.629 0.629 0.629
5 Ag 0.500 0.500 0.500


Q:
Here is Al2Ga2Ag after structural relaxation from Alexandria via LeMat-Bulk. Energies are from GGA-PBE.

Output
* total magnetic moment: 0.0 μB/cell
* crystal system: orthorhombic
* SG: Pnma

abc: 7.371 4.397 11.493
angles: 90.00 90.00 90.00
Sites, in units of the cell vectors:
1 Al 0.041 0.250 0.238
2 Al 0.201 0.250 0.683
3 Al 0.299 0.750 0.183
4 Al 0.459 0.750 0.738
5 Al 0.541 0.250 0.262
6 Al 0.701 0.250 0.817
7 Al 0.799 0.750 0.317
8 Al 0.959 0.750 0.762
9 Ga 0.041 0.250 0.897
10 Ga 0.119 0.750 0.549
11 Ga 0.381 0.250 0.049
12 Ga 0.459 0.750 0.397
13 Ga 0.541 0.250 0.603
14 Ga 0.619 0.750 0.951
15 Ga 0.881 0.250 0.451
16 Ga 0.959 0.750 0.103
17 Ag 0.243 0.750 0.934
18 Ag 0.257 0.250 0.434
19 Ag 0.743 0.750 0.566
20 Ag 0.757 0.250 0.066


Stability verdict: P, ahead by 65 meV/atom


P:
Here is AlGa12Ag6 after structural relaxation from Alexandria via LeMat-Bulk. Energies are from GGA-PBE.

Output
* total magnetic moment: 0.0 μB/cell
* crystal system: trigonal
* SG: R-3

abc: 7.261 7.261 7.261
angles: 98.48 98.48 98.48
Sites, in units of the cell vectors:
1 Al 0.000 0.000 0.000
2 Ga 0.019 0.834 0.310
3 Ga 0.166 0.690 0.981
4 Ga 0.188 0.498 0.638
5 Ga 0.310 0.019 0.834
6 Ga 0.362 0.812 0.502
7 Ga 0.498 0.638 0.188
8 Ga 0.502 0.362 0.812
9 Ga 0.638 0.188 0.498
10 Ga 0.690 0.981 0.166
11 Ga 0.812 0.502 0.362
12 Ga 0.834 0.310 0.019
13 Ga 0.981 0.166 0.690
14 Ag 0.160 0.465 0.261
15 Ag 0.261 0.160 0.465
16 Ag 0.465 0.261 0.160
17 Ag 0.535 0.739 0.840
18 Ag 0.739 0.840 0.535
19 Ag 0.840 0.535 0.739


Q:
Here is AlGa12Ag6 after structural relaxation from Alexandria via LeMat-Bulk. Energies are from GGA-PBE.

Output
* total magnetic moment: 0.0 μB/cell
* crystal system: trigonal
* SG: R-3

abc: 7.100 7.100 7.100
angles: 86.46 86.46 86.46
Sites, in units of the cell vectors:
1 Al 0.000 0.000 0.000
2 Ga 0.046 0.372 0.150
3 Ga 0.150 0.046 0.372
4 Ga 0.206 0.560 0.468
5 Ga 0.372 0.150 0.046
6 Ga 0.440 0.532 0.794
7 Ga 0.468 0.206 0.560
8 Ga 0.532 0.794 0.440
9 Ga 0.560 0.468 0.206
10 Ga 0.628 0.850 0.954
11 Ga 0.794 0.440 0.532
12 Ga 0.850 0.954 0.628
13 Ga 0.954 0.628 0.850
14 Ag 0.117 0.280 0.746
15 Ag 0.254 0.883 0.720
16 Ag 0.280 0.746 0.117
17 Ag 0.720 0.254 0.883
18 Ag 0.746 0.117 0.280
19 Ag 0.883 0.720 0.254


Stability verdict: Q, ahead by 17 meV/atom


P:
Here is Al4GaAg after structural relaxation from Alexandria via LeMat-Bulk. Energies are from GGA-PBE.

Output
* total magnetic moment: 0.0 μB/cell
* crystal system: monoclinic
* SG: P2_1/m

abc: 4.816 5.939 7.145
angles: 90.00 91.23 90.00
Sites, in units of the cell vectors:
1 Al 0.001 0.250 0.499
2 Al 0.170 0.501 0.170
3 Al 0.170 0.999 0.170
4 Al 0.322 0.750 0.837
5 Al 0.678 0.250 0.163
6 Al 0.830 0.001 0.830
7 Al 0.830 0.499 0.830
8 Al 0.999 0.750 0.501
9 Ga 0.324 0.250 0.845
10 Ga 0.676 0.750 0.155
11 Ag 0.500 0.000 0.500
12 Ag 0.500 0.500 0.500


Q:
Here is Al4GaAg after structural relaxation from Alexandria via LeMat-Bulk. Energies are from GGA-PBE.

Output
* total magnetic moment: 0.0 μB/cell
* crystal system: monoclinic
* SG: P2/c

abc: 6.732 4.961 6.311
angles: 90.00 100.05 90.00
Sites, in units of the cell vectors:
1 Al 0.166 0.111 0.417
2 Al 0.166 0.889 0.917
3 Al 0.332 0.391 0.085
4 Al 0.332 0.609 0.585
5 Al 0.668 0.391 0.415
6 Al 0.668 0.609 0.915
7 Al 0.834 0.111 0.083
8 Al 0.834 0.889 0.583
9 Ga 0.000 0.393 0.750
10 Ga 0.000 0.607 0.250
11 Ag 0.500 0.107 0.750
12 Ag 0.500 0.893 0.250


Stability verdict: P, ahead by 26 meV/atom


P:
Here is AlGa3Ag after structural relaxation from Alexandria via LeMat-Bulk. Energies are from GGA-PBE.

Output
* total magnetic moment: 0.0 μB/cell
* crystal system: monoclinic
* SG: P2_1/m

abc: 2.855 9.998 6.507
angles: 90.00 90.01 90.00
Sites, in units of the cell vectors:
1 Al 0.001 0.250 0.401
2 Al 0.999 0.750 0.599
3 Ga 0.499 0.588 0.340
4 Ga 0.499 0.750 0.958
5 Ga 0.499 0.912 0.340
6 Ga 0.501 0.088 0.660
7 Ga 0.501 0.250 0.042
8 Ga 0.501 0.412 0.660
9 Ag 0.000 0.000 0.000
10 Ag 0.000 0.500 0.000


Q:
Here is AlGa3Ag after structural relaxation from Alexandria via LeMat-Bulk. Energies are from GGA-PBE.

Output
* total magnetic moment: 0.0 μB/cell
* crystal system: hexagonal
* SG: P6_3mc

abc: 2.953 2.953 23.565
angles: 90.00 90.00 120.00
Sites, in units of the cell vectors:
1 Al 0.000 0.000 0.000
2 Al 0.000 0.000 0.500
3 Ga 0.000 0.000 0.294
4 Ga 0.000 0.000 0.794
5 Ga 0.333 0.667 0.098
6 Ga 0.333 0.667 0.397
7 Ga 0.667 0.333 0.598
8 Ga 0.667 0.333 0.897
9 Ag 0.333 0.667 0.696
10 Ag 0.667 0.333 0.196


R:
Here is AlGa3Ag after structural relaxation from Alexandria via LeMat-Bulk. Energies are from GGA-PBE.

Output
* total magnetic moment: 0.0 μB/cell
* crystal system: cubic
* SG: Pm-3m

abc: 4.944 4.944 4.944
angles: 90.00 90.00 90.00
Sites, in units of the cell vectors:
1 Al 0.000 0.000 0.000
2 Ga 0.000 0.000 0.500
3 Ga 0.000 0.500 0.000
4 Ga 0.500 0.000 0.000
5 Ag 0.500 0.500 0.500


Stability verdict: Q, ahead by 27 meV/atom


P:
Here is Al2GaAg4 after structural relaxation from Alexandria via LeMat-Bulk. Energies are from GGA-PBE.

Output
* total magnetic moment: 0.0 μB/cell
* crystal system: triclinic
* SG: P1

abc: 2.955 2.963 15.729
angles: 89.97 89.79 61.21
Sites, in units of the cell vectors:
1 Al 0.000 0.000 0.000
2 Al 0.006 0.009 0.718
3 Ga 0.995 0.996 0.286
4 Ag 0.333 0.321 0.140
5 Ag 0.334 0.334 0.428
6 Ag 0.667 0.680 0.859
7 Ag 0.673 0.671 0.581


Q:
Here is Al2GaAg4 after structural relaxation from Alexandria via LeMat-Bulk. Energies are from GGA-PBE.

Output
* total magnetic moment: 0.0 μB/cell
* crystal system: triclinic
* SG: P1

abc: 4.726 7.371 8.101
angles: 114.65 95.62 93.40
Sites, in units of the cell vectors:
1 Al 0.000 0.000 0.000
2 Al 0.095 0.250 0.719
3 Al 0.256 0.400 0.099
4 Al 0.510 0.035 0.507
5 Ga 0.289 0.657 0.834
6 Ga 0.791 0.493 0.292
7 Ag 0.057 0.807 0.238
8 Ag 0.132 0.236 0.368
9 Ag 0.345 0.653 0.471
10 Ag 0.468 0.052 0.843
11 Ag 0.561 0.000 0.173
12 Ag 0.707 0.429 0.591
13 Ag 0.718 0.470 0.949
14 Ag 0.901 0.859 0.631


Stability verdict: P, ahead by 59 meV/atom


P:
Here is Al6GaAg after structural relaxation from Alexandria via LeMat-Bulk. Energies are from GGA-PBE.

Output
* total magnetic moment: 0.0 μB/cell
* crystal system: triclinic
* SG: P-1

abc: 5.229 5.238 5.300
angles: 81.62 81.43 80.03
Sites, in units of the cell vectors:
1 Al 0.007 0.497 0.249
2 Al 0.247 0.014 0.502
3 Al 0.489 0.251 0.005
4 Al 0.511 0.749 0.995
5 Al 0.753 0.986 0.498
6 Al 0.993 0.503 0.751
7 Ga 0.000 0.000 0.000
8 Ag 0.500 0.500 0.500


Q:
Here is Al6GaAg after structural relaxation from Alexandria via LeMat-Bulk. Energies are from GGA-PBE.

Output
* total magnetic moment: 0.0 μB/cell
* crystal system: tetragonal
* SG: P4/mmm

abc: 5.016 5.016 5.522
angles: 90.00 90.00 90.00
Sites, in units of the cell vectors:
1 Al 0.000 0.000 0.000
2 Al 0.000 0.000 0.500
3 Al 0.000 0.500 0.250
4 Al 0.000 0.500 0.750
5 Al 0.500 0.000 0.250
6 Al 0.500 0.000 0.750
7 Ga 0.500 0.500 0.000
8 Ag 0.500 0.500 0.500


Stability verdict: Q, ahead by 11 meV/atom


P:
Here is Al2Ga3Ag after structural relaxation from Alexandria via LeMat-Bulk. Energies are from GGA-PBE.

Output
* total magnetic moment: 0.0 μB/cell
* crystal system: monoclinic
* SG: C2/m

abc: 9.433 9.433 8.631
angles: 111.22 111.22 17.62
Sites, in units of the cell vectors:
1 Al 0.071 0.071 0.136
2 Al 0.308 0.308 0.622
3 Al 0.692 0.692 0.378
4 Al 0.929 0.929 0.864
5 Ga 0.071 0.071 0.793
6 Ga 0.309 0.309 0.292
7 Ga 0.444 0.444 0.565
8 Ga 0.556 0.556 0.435
9 Ga 0.691 0.691 0.708
10 Ga 0.929 0.929 0.207
11 Ag 0.312 0.312 0.951
12 Ag 0.688 0.688 0.049


Q:
Here is Al2Ga3Ag after structural relaxation from Alexandria via LeMat-Bulk. Energies are from GGA-PBE.

Output
* total magnetic moment: 0.0 μB/cell
* crystal system: orthorhombic
* SG: Pmc2_1

abc: 4.205 9.777 5.411
angles: 90.00 90.00 90.00
Sites, in units of the cell vectors:
1 Al 0.000 0.046 0.000
2 Al 0.000 0.954 0.500
3 Al 0.500 0.281 0.949
4 Al 0.500 0.719 0.449
5 Ga 0.000 0.237 0.638
6 Ga 0.000 0.446 0.092
7 Ga 0.000 0.554 0.592
8 Ga 0.000 0.763 0.138
9 Ga 0.500 0.097 0.317
10 Ga 0.500 0.903 0.817
11 Ag 0.500 0.381 0.434
12 Ag 0.500 0.619 0.934


Stability verdict: P, ahead by 31 meV/atom